Nd2EuAs: relaxed, PBE-GGA.

```
data_Nd2EuAs
_chemical_formula_sum 'Nd2 Eu1 As1'
_symmetry_space_group_name_H-M 'P 1'
_symmetry_Int_Tables_number 1
_cell_length_a 10.209
_cell_length_b 10.209
_cell_length_c 10.209
_cell_angle_alpha 23.00
_cell_angle_beta 23.00
_cell_angle_gamma 23.00
loop_
_symmetry_equiv_pos_as_xyz
'x,y,z'
loop_
_atom_site_label
_atom_site_fract_x
_atom_site_fract_y
_atom_site_fract_z
Nd1 0.225 0.225 0.225
Nd2 0.775 0.775 0.775
Eu1 0.000 0.000 0.000
As1 0.500 0.500 0.500
```

Electronic total energy   -6.7453 eV per atom
DFT formation energy   -0.630 eV/atom
Space group   R-3m
Fermi-level density of states   3.93 states/eV/cell
M_tot   8.17 μB/cell